# LiSmSe2, optimized geometry, DFT GGA-PBE
data_LiSmSe2
_chemical_formula_sum 'Li2 Sm2 Se4'
_cell_length_a 7.170
_cell_length_b 7.170
_cell_length_c 7.170
_cell_angle_alpha 132.24
_cell_angle_beta 132.24
_cell_angle_gamma 69.84
_space_group_name_H-M_alt 'P 1'
_space_group_IT_number 1
loop_
_space_group_symop_operation_xyz
'x,y,z'
loop_
_atom_site_label
_atom_site_type_symbol
_atom_site_fract_x
_atom_site_fract_y
_atom_site_fract_z
Li1 Li 0.375 0.625 0.750
Li2 Li 0.625 0.375 0.250
Sm1 Sm 0.125 0.875 0.250
Sm2 Sm 0.875 0.125 0.750
Se1 Se 0.123 0.373 0.750
Se2 Se 0.373 0.123 0.250
Se3 Se 0.627 0.877 0.750
Se4 Se 0.877 0.627 0.250
# Formation energy from raw total energies ... -1663 meV per atom

=====

# CaTm2Cu, optimized geometry, DFT GGA-PBE
data_CaTm2Cu
_chemical_formula_sum 'Ca1 Tm2 Cu1'
_cell_length_a 3.480
_cell_length_b 3.480
_cell_length_c 9.155
_cell_angle_alpha 90.00
_cell_angle_beta 90.00
_cell_angle_gamma 90.00
_space_group_name_H-M_alt 'P 1'
_space_group_IT_number 1
loop_
_space_group_symop_operation_xyz
'x,y,z'
loop_
_atom_site_label
_atom_site_type_symbol
_atom_site_fract_x
_atom_site_fract_y
_atom_site_fract_z
Ca1 Ca 0.000 0.000 0.000
Tm1 Tm 0.500 0.500 0.321
Tm2 Tm 0.500 0.500 0.679
Cu1 Cu 0.000 0.000 0.500
# Distance to the lowest polymorph of the same formula ... 0 meV/atom

=====

# OsRu2Br, optimized geometry, DFT GGA-PBE
data_OsRu2Br
_chemical_formula_sum 'Os1 Ru2 Br1'
_cell_length_a 4.690
_cell_length_b 4.690
_cell_length_c 4.690
_cell_angle_alpha 128.96
_cell_angle_beta 128.96
_cell_angle_gamma 75.08
_space_group_name_H-M_alt 'P 1'
_space_group_IT_number 1
loop_
_space_group_symop_operation_xyz
'x,y,z'
loop_
_atom_site_label
_atom_site_type_symbol
_atom_site_fract_x
_atom_site_fract_y
_atom_site_fract_z
Os1 Os 0.000 0.000 0.000
Ru1 Ru 0.250 0.750 0.500
Ru2 Ru 0.500 0.500 0.000
Br1 Br 0.750 0.250 0.500
# Formation energy from raw total energies ... 1182 meV per atom
# Distance to the lowest polymorph of the same formula ... 556 meV/atom

=====

# Nd12Ga6Rh, optimized geometry, DFT GGA-PBE
data_Nd12Ga6Rh
_chemical_formula_sum 'Nd12 Ga6 Rh1'
_cell_length_a 8.643
_cell_length_b 8.643
_cell_length_c 8.643
_cell_angle_alpha 99.67
_cell_angle_beta 99.67
_cell_angle_gamma 99.67
_space_group_name_H-M_alt 'P 1'
_space_group_IT_number 1
loop_
_space_group_symop_operation_xyz
'x,y,z'
loop_
_atom_site_label
_atom_site_type_symbol
_atom_site_fract_x
_atom_site_fract_y
_atom_site_fract_z
Nd1 Nd 0.034 0.935 0.680
Nd2 Nd 0.065 0.320 0.966
Nd3 Nd 0.182 0.564 0.429
Nd4 Nd 0.320 0.966 0.065
Nd5 Nd 0.429 0.182 0.564
Nd6 Nd 0.436 0.571 0.818
Nd7 Nd 0.564 0.429 0.182
Nd8 Nd 0.571 0.818 0.436
Nd9 Nd 0.680 0.034 0.935
Nd10 Nd 0.818 0.436 0.571
Nd11 Nd 0.935 0.680 0.034
Nd12 Nd 0.966 0.065 0.320
Ga1 Ga 0.136 0.301 0.631
Ga2 Ga 0.301 0.631 0.136
Ga3 Ga 0.369 0.864 0.699
Ga4 Ga 0.631 0.136 0.301
Ga5 Ga 0.699 0.369 0.864
Ga6 Ga 0.864 0.699 0.369
Rh1 Rh 0.000 0.000 0.000
# Electronic total energy ... -4.594 eV/atom

=====

# Rb2TcBr, optimized geometry, DFT GGA-PBE
data_Rb2TcBr
_chemical_formula_sum 'Rb2 Tc1 Br1'
_cell_length_a 6.221
_cell_length_b 6.221
_cell_length_c 6.221
_cell_angle_alpha 60.00
_cell_angle_beta 60.00
_cell_angle_gamma 60.00
_space_group_name_H-M_alt 'P 1'
_space_group_IT_number 1
loop_
_space_group_symop_operation_xyz
'x,y,z'
loop_
_atom_site_label
_atom_site_type_symbol
_atom_site_fract_x
_atom_site_fract_y
_atom_site_fract_z
Rb1 Rb 0.250 0.250 0.250
Rb2 Rb 0.750 0.750 0.750
Tc1 Tc 0.000 0.000 0.000
Br1 Br 0.500 0.500 0.500
# Formation energy from raw total energies ... 555 meV per atom
# Distance to the lowest polymorph of the same formula ... 22 meV/atom

=====

# KInAs2, optimized geometry, DFT GGA-PBE
data_KInAs2
_chemical_formula_sum 'K1 In1 As2'
_cell_length_a 6.059
_cell_length_b 6.059
_cell_length_c 6.580
_cell_angle_alpha 109.74
_cell_angle_beta 109.74
_cell_angle_gamma 35.23
_space_group_name_H-M_alt 'P 1'
_space_group_IT_number 1
loop_
_space_group_symop_operation_xyz
'x,y,z'
loop_
_atom_site_label
_atom_site_type_symbol
_atom_site_fract_x
_atom_site_fract_y
_atom_site_fract_z
K1 K 0.000 0.000 0.000
In1 In 0.500 0.500 0.500
As1 As 0.255 0.255 0.630
As2 As 0.745 0.745 0.370
# Electronic total energy ... -3.437 eV/atom

=====

# TiAsIrSe2, optimized geometry, DFT GGA-PBE
data_TiAsIrSe2
_chemical_formula_sum 'Ti1 As1 Ir1 Se2'
_cell_length_a 4.766
_cell_length_b 4.766
_cell_length_c 4.862
_cell_angle_alpha 90.00
_cell_angle_beta 90.00
_cell_angle_gamma 90.00
_space_group_name_H-M_alt 'P 1'
_space_group_IT_number 1
loop_
_space_group_symop_operation_xyz
'x,y,z'
loop_
_atom_site_label
_atom_site_type_symbol
_atom_site_fract_x
_atom_site_fract_y
_atom_site_fract_z
Ti1 Ti 0.000 0.000 0.000
As1 As 0.000 0.000 0.500
Ir1 Ir 0.500 0.500 0.500
Se1 Se 0.000 0.500 0.000
Se2 Se 0.500 0.000 0.000
# Formation energy from raw total energies ... 684 meV per atom
# Distance to the lowest polymorph of the same formula ... 139 meV/atom

=====

# Y4SeI5, optimized geometry, DFT GGA-PBE
data_Y4SeI5
_chemical_formula_sum 'Y4 Se1 I5'
_cell_length_a 9.751
_cell_length_b 9.751
_cell_length_c 8.811
_cell_angle_alpha 103.40
_cell_angle_beta 103.40
_cell_angle_gamma 24.53
_space_group_name_H-M_alt 'P 1'
_space_group_IT_number 1
loop_
_space_group_symop_operation_xyz
'x,y,z'
loop_
_atom_site_label
_atom_site_type_symbol
_atom_site_fract_x
_atom_site_fract_y
_atom_site_fract_z
Y1 Y 0.002 0.002 0.291
Y2 Y 0.354 0.354 0.434
Y3 Y 0.646 0.646 0.566
Y4 Y 0.998 0.998 0.709
Se1 Se 0.500 0.500 0.500
I1 I 0.164 0.164 0.833
I2 I 0.174 0.174 0.320
I3 I 0.500 0.500 0.000
I4 I 0.826 0.826 0.680
I5 I 0.836 0.836 0.167
# Formation energy from raw total energies ... -1274 meV per atom